(1)
# CaMo2Br | Alexandria | PBE | optimized geometry
# Uncorrected energy ... -6.322 eV per atom
# Total magnetic moment ... 0.00 μB per cell
# Relative energy among the computed polymorphs ... 0.000 eV per formula unit
# Formation energy from raw total energies ... 0.012 eV per atom
data_CaMo2Br
_space_group_name_H-M_alt 'P 1 m 1'
_space_group_IT_number 6
_cell_length_a 3.357
_cell_length_b 3.294
_cell_length_c 8.022
_cell_angle_alpha 90.00
_cell_angle_beta 100.00
_cell_angle_gamma 90.00
loop_
_space_group_symop_operation_xyz
'x,y,z'
'x,-y,z'
loop_
_atom_site_label
_atom_site_fract_x
_atom_site_fract_y
_atom_site_fract_z
_atom_site_occupancy
Ca1 0.000 0.000 0.000 1
Mo1 0.371 0.500 0.711 1
Mo2 0.754 0.000 0.565 1
Br1 0.605 0.500 0.253 1

***

(2)
# La8ZnRu3Br4 | Alexandria | PBE | optimized geometry
# Uncorrected energy ... -5.608 eV per atom
# Total magnetic moment ... 0.00 μB per cell
# Formation energy from raw total energies ... -0.907 eV per atom
data_La8ZnRu3Br4
_space_group_name_H-M_alt 'C 1 2/m 1'
_space_group_IT_number 12
_cell_length_a 14.595
_cell_length_b 8.428
_cell_length_c 9.306
_cell_angle_alpha 90.00
_cell_angle_beta 121.58
_cell_angle_gamma 90.00
loop_
_space_group_symop_operation_xyz
'x,y,z'
'-x,-y,-z'
'-x,y,-z'
'x,-y,z'
'x+1/2,y+1/2,z'
'-x+1/2,-y+1/2,-z'
'-x+1/2,y+1/2,-z'
'x+1/2,-y+1/2,z'
loop_
_atom_site_label
_atom_site_fract_x
_atom_site_fract_y
_atom_site_fract_z
_atom_site_occupancy
La1 0.022 0.237 0.305 1
La2 0.234 0.000 0.702 1
La3 0.241 0.500 0.695 1
Zn1 0.000 0.500 0.500 1
Ru1 0.000 0.000 0.500 1
Ru2 0.250 0.250 0.500 1
Br1 0.000 0.000 0.000 1
Br2 0.000 0.500 0.000 1
Br3 0.250 0.250 0.000 1

***

(3)
# FeAg2Mo | Alexandria | PBE | optimized geometry
# Uncorrected energy ... -5.710 eV per atom
# Total magnetic moment ... 2.17 μB per cell
# Relative energy among the computed polymorphs ... 0.946 eV per formula unit
# E_form ... 0.54 eV/atom
data_FeAg2Mo
_space_group_name_H-M_alt 'P 1 2/m 1'
_space_group_IT_number 10
_cell_length_a 2.656
_cell_length_b 4.649
_cell_length_c 5.252
_cell_angle_alpha 90.00
_cell_angle_beta 102.86
_cell_angle_gamma 90.00
loop_
_space_group_symop_operation_xyz
'x,y,z'
'-x,-y,-z'
'-x,y,-z'
'x,-y,z'
loop_
_atom_site_label
_atom_site_fract_x
_atom_site_fract_y
_atom_site_fract_z
_atom_site_occupancy
Fe1 0.000 0.000 0.000 1
Ag1 0.172 0.500 0.759 1
Mo1 0.500 0.000 0.500 1

***

(4)
# MnAl2Pt | Alexandria | PBE | optimized geometry
# Uncorrected energy ... -6.064 eV per atom
# Total magnetic moment ... 14.03 μB per cell
# E_form ... -0.39 eV/atom
data_MnAl2Pt
_space_group_name_H-M_alt 'F -4 3 m'
_space_group_IT_number 216
_space_group_name_Hall 'F -4 2 3'
_cell_length_a 6.193
_cell_length_b 6.193
_cell_length_c 6.193
_cell_angle_alpha 90.00
_cell_angle_beta 90.00
_cell_angle_gamma 90.00
loop_
_atom_site_label
_atom_site_fract_x
_atom_site_fract_y
_atom_site_fract_z
_atom_site_occupancy
Mn1 0.000 0.000 0.000 1
Al1 0.000 0.000 0.500 1
Al2 0.250 0.250 0.250 1
Pt1 0.250 0.250 0.750 1